Entry from the Alexandria database: a geometry-optimized CaRhW2F structure (PBE with a Hubbard U).

Cell: 4.9962 4.9962 5.7804 Å, 90.00 90.00 90.00°
Sites, in units of the cell vectors:
1 Ca 0.0000 0.0000 0.0000
2 Rh 0.0000 0.0000 0.5000
3 W 0.0000 0.5000 0.5000
4 W 0.5000 0.0000 0.5000
5 F 0.5000 0.5000 0.0000

As for the space group: P4/mmm. For the total energy, the calculation gives -22.98 eV/f.u.